# RbBiMo2O8 PBE+U relaxed
# Volume   21.8 Å³ per atom
# E_tot   -6.545 eV/atom
# Distance to the lowest polymorph of the same formula   0.00 eV/f.u.
data_RbBiMo2O8
_symmetry_space_group_name_H-M 'P -3'
_symmetry_Int_Tables_number 147
_symmetry_space_group_name_Hall '-P 3'
_cell_length_a 6.1269
_cell_length_b 6.1269
_cell_length_c 8.0328
_cell_angle_alpha 90.00
_cell_angle_beta 90.00
_cell_angle_gamma 120.00
loop_
_atom_site_label
_atom_site_fract_x
_atom_site_fract_y
_atom_site_fract_z
Rb1 0.0000 0.0000 0.0000
Bi1 0.0000 0.0000 0.5000
Mo1 0.3333 0.6667 0.7545
O1 0.1669 0.3417 0.6840
O2 0.3333 0.6667 0.9720